DFT (GGA-PBE) results for a geometry-optimized CuReHg2Te structure.

Geometry as CIF:
```
data_CuReHg2Te
_symmetry_space_group_name_H-M 'P 1'
_symmetry_Int_Tables_number 1
_cell_length_a 4.930
_cell_length_b 4.968
_cell_length_c 4.930
_cell_angle_alpha 90.00
_cell_angle_beta 90.00
_cell_angle_gamma 90.00
loop_
_symmetry_equiv_pos_as_xyz
'x,y,z'
loop_
_atom_site_label
_atom_site_type_symbol
_atom_site_fract_x
_atom_site_fract_y
_atom_site_fract_z
Hg1 Hg 0.000 0.000 0.500
Cu1 Cu 0.000 0.000 0.000
Re1 Re 0.000 0.500 0.000
Te1 Te 0.500 0.500 0.500
Hg2 Hg 0.500 0.000 0.000
```

Values from the calculation:
ΔE_f (raw): 1.092 eV/atom
total energy: -14.83 eV per cell